! SrAl2Mo, optimized geometry, DFT GGA-PBE; values from VASP
! - Distance to the lowest polymorph of the same formula: 0.388 eV/atom
! - Calculated volume: 20.54 Å³/atom
! - M_tot: 0.00 μB per formula unit
&SYSTEM
  ibrav = 0, nat = 8, ntyp = 3
/
ATOMIC_SPECIES
Sr 87.62 Sr.upf
Al 26.98 Al.upf
Mo 95.94 Mo.upf
CELL_PARAMETERS angstrom
2.926 0.000 0.000
0.000 5.279 0.000
0.000 0.000 10.637
ATOMIC_POSITIONS angstrom
Sr 0.000 0.000 0.000
Sr 1.463 2.640 5.318
Al 0.000 0.000 5.444
Al 0.000 2.640 8.321
Al 1.463 0.000 3.002
Al 1.463 2.640 0.126
Mo 0.000 2.640 2.327
Mo 1.463 0.000 7.646